Record 1
# CrSbAs

A geometry-optimized CrSbAs structure (GGA-PBE, the Alexandria database).

abc: 3.1028 3.1028 12.4164
angles: 90.00 90.00 90.00
Last column: nearest neighbours and their distance in Å.
Space group I4mm (No. 107)
Asymmetric unit:
Cr 0.0000 0.0000 0.0000 (multiplicity 2)  4 As 2.53
Sb 0.0000 0.0000 0.3491 (multiplicity 2)  4 Cr 2.88, 4 Sb 3.10, 1 As 3.14
As 0.0000 0.0000 0.6018 (multiplicity 2)  4 Cr 2.53

Results
Its total magnetic moment is 1.36 μB per formula unit. The calculation puts the electronic total energy at -5.981 eV/atom. Its mass density is 6.9 g/cm3.

---

Record 2
# CrSbAs

A geometry-optimized CrSbAs structure (GGA-PBE, the Alexandria database).

abc: 6.3192 6.3192 6.3192
angles: 90.00 90.00 90.00
Last column: nearest neighbours and their distance in Å.
Space group P2_13 (No. 198)
Asymmetric unit:
Cr 0.0378 0.0378 0.0378 (multiplicity 4)  3 As 2.43
Sb 0.1978 0.6978 0.8022 (multiplicity 4)  4 Cr 2.80-2.89
As 0.1843 0.8157 0.3157 (multiplicity 4)  3 Cr 2.43

Results
Its total magnetic moment is 2.01 μB per formula unit. The calculation puts the electronic total energy at -5.928 eV/atom. Its mass density is 6.5 g/cm3.

---

Record 3
# Cr3SbAs

A geometry-optimized Cr3SbAs structure (GGA-PBE, the Alexandria database).

abc: 4.7820 4.7820 4.7820
angles: 90.00 90.00 90.00
Last column: nearest neighbours and their distance in Å.
Space group Pm-3m (No. 221)
Asymmetric unit:
Cr 0.0000 0.0000 0.5000 (multiplicity 3)  2 As 2.39
Sb 0.5000 0.5000 0.5000 (multiplicity 1)  12 Cr 3.38
As 0.0000 0.0000 0.0000 (multiplicity 1)  6 Cr 2.39

Results
Its total magnetic moment is 11.83 μB per formula unit. The distance to the lowest polymorph of the same formula is 0.00 kJ per mole of atoms. The calculation puts the electronic total energy at -6.982 eV/atom. Its mass density is 5.4 g/cm3.

---

Record 4
# CrSbAs

A geometry-optimized CrSbAs structure (GGA-PBE, the Alexandria database).

abc: 3.2954 3.2954 5.9687
angles: 90.00 90.00 120.00
Last column: nearest neighbours and their distance in Å.
Space group P3m1 (No. 156)
Asymmetric unit:
Cr 0.0000 0.0000 0.0000 (multiplicity 1)  3 As 2.43, 3 Sb 2.68
Sb 0.6667 0.3333 0.3160 (multiplicity 1)  3 Cr 2.68
As 0.3333 0.6667 0.7477 (multiplicity 1)  3 Cr 2.43

Results
Its total magnetic moment is 0.00 μB per formula unit. The calculation puts the electronic total energy at -5.997 eV/atom. Its mass density is 7.4 g/cm3.

---

Record 5
# CrSb2As2

A geometry-optimized CrSb2As2 structure (GGA-PBE, the Alexandria database).

abc: 6.4184 6.4184 5.8706
angles: 90.00 90.00 90.00
Last column: nearest neighbours and their distance in Å.
Space group P4/mbm (No. 127)
Asymmetric unit:
Cr 0.0000 0.0000 0.0000 (multiplicity 2)  4 As 2.49
Sb 0.1767 0.3233 0.5000 (multiplicity 4)  2 As 2.96, 1 Sb 3.21
As 0.1362 0.3638 0.0000 (multiplicity 4)  1 As 2.47, 2 Cr 2.49

Results
Its total magnetic moment is 3.76 μB per formula unit. The calculation puts the electronic total energy at -5.266 eV/atom. Its mass density is 6.1 g/cm3.

---

Record 6
# CrSbAs

A geometry-optimized CrSbAs structure (GGA-PBE, the Alexandria database).

abc: 6.3935 6.3935 6.3935
angles: 90.00 90.00 90.00
Last column: nearest neighbours and their distance in Å.
Space group F-43m (No. 216)
Asymmetric unit:
Cr 0.0000 0.0000 0.0000 (multiplicity 4)  4 Sb 2.77, 4 As 2.77
Sb 0.2500 0.2500 0.2500 (multiplicity 4)  4 Cr 2.77
As 0.2500 0.2500 0.7500 (multiplicity 4)  4 Cr 2.77

Results
Its total magnetic moment is 3.46 μB per formula unit. The calculation puts the electronic total energy at -5.964 eV/atom. Its mass density is 6.3 g/cm3.

---

Record 7
# Cr2SbAs2

A geometry-optimized Cr2SbAs2 structure (GGA-PBE, the Alexandria database).

abc: 7.3977 7.3977 3.0605
angles: 90.00 90.00 90.00
Last column: nearest neighbours and their distance in Å.
Space group P4/mbm (No. 127)
Asymmetric unit:
Cr 0.1441 0.3559 0.0000 (multiplicity 4)  6 As 2.60-2.72, 2 Sb 2.84
Sb 0.0000 0.0000 0.0000 (multiplicity 2)  4 Cr 2.84, 2 Sb 3.06
As 0.1404 0.6404 0.5000 (multiplicity 4)  6 Cr 2.60-2.72

Results
Its total magnetic moment is 3.67 μB per formula unit. The calculation puts the electronic total energy at -6.395 eV/atom. Its mass density is 7.4 g/cm3.

---

Record 8
# CrSbAs4

A geometry-optimized CrSbAs4 structure (GGA-PBE, the Alexandria database).

abc: 7.9540 7.9540 7.9540
angles: 90.00 90.00 90.00
Last column: nearest neighbours and their distance in Å.
Space group F-43m (No. 216)
Asymmetric unit:
Cr 0.0000 0.0000 0.0000 (multiplicity 4)  12 As 3.29, 4 Sb 3.44
Sb 0.2500 0.2500 0.7500 (multiplicity 4)  12 As 3.30, 4 Cr 3.44
As 0.1265 0.1265 0.3735 (multiplicity 16)  6 As 2.78-2.85

Results
Its total magnetic moment is 4.18 μB per formula unit. The calculation puts the electronic total energy at -4.817 eV/atom. Its mass density is 6.2 g/cm3.

---

Record 9
# CrSbAsSe2

A geometry-optimized CrSbAsSe2 structure (GGA-PBE, the Alexandria database).

abc: 4.8465 4.8465 4.8233
angles: 90.00 90.00 90.00
Last column: nearest neighbours and their distance in Å.
Space group P4/mmm (No. 123)
Asymmetric unit:
Cr 0.0000 0.0000 0.0000 (multiplicity 1)  2 As 2.41, 4 Se 2.42
Sb 0.5000 0.5000 0.5000 (multiplicity 1)  8 Se 3.42, 4 As 3.43
As 0.0000 0.0000 0.5000 (multiplicity 1)  2 Cr 2.41
Se 0.0000 0.5000 0.0000 (multiplicity 2)  2 Cr 2.42

Results
Its total magnetic moment is 2.65 μB per formula unit. The distance to the lowest polymorph of the same formula is 0.00 kJ per mole of atoms. The calculation puts the electronic total energy at -4.810 eV/atom. Its mass density is 6.0 g/cm3.

---

Record 10
# Sr2CrSbAs

A geometry-optimized Sr2CrSbAs structure (GGA-PBE, the Alexandria database).

abc: 6.1391 6.1391 4.5007
angles: 90.00 90.00 90.00
Last column: nearest neighbours and their distance in Å.
Space group P4/mmm (No. 123)
Asymmetric unit:
Sr 0.0000 0.5000 0.0000 (multiplicity 2)  2 Cr 3.07
Cr 0.0000 0.0000 0.0000 (multiplicity 1)  2 As 2.25
Sb 0.5000 0.5000 0.5000 (multiplicity 1)  8 Sr 3.81
As 0.0000 0.0000 0.5000 (multiplicity 1)  2 Cr 2.25

Results
Its total magnetic moment is 3.33 μB per formula unit. The calculation puts the electronic total energy at -4.442 eV/atom. Its mass density is 4.1 g/cm3.

---

Record 11
# CrSb2TeAs

A geometry-optimized CrSb2TeAs structure (GGA-PBE, the Alexandria database).

abc: 5.2929 5.2929 5.5358
angles: 90.00 90.00 90.00
Last column: nearest neighbours and their distance in Å.
Space group P4/mmm (No. 123)
Asymmetric unit:
Cr 0.0000 0.0000 0.0000 (multiplicity 1)  4 Te 3.74, 8 Sb 3.83
Sb 0.0000 0.5000 0.5000 (multiplicity 2)  2 As 2.65
Te 0.5000 0.5000 0.0000 (multiplicity 1)  2 As 2.77
As 0.5000 0.5000 0.5000 (multiplicity 1)  4 Sb 2.65, 2 Te 2.77

Results
Its total magnetic moment is 3.86 μB per formula unit. The distance to the lowest polymorph of the same formula is 33.48 kJ per mole of atoms. The calculation puts the electronic total energy at -4.236 eV/atom. Its mass density is 5.3 g/cm3.

---

Record 12
# CrSb2TeAs

A geometry-optimized CrSb2TeAs structure (GGA-PBE, the Alexandria database).

abc: 5.0218 5.0218 4.9406
angles: 90.00 90.00 90.00
Last column: nearest neighbours and their distance in Å.
Space group P4/mmm (No. 123)
Asymmetric unit:
Cr 0.0000 0.0000 0.0000 (multiplicity 1)  2 Te 2.47, 4 Sb 2.51
Sb 0.0000 0.5000 0.0000 (multiplicity 2)  2 Cr 2.51
Te 0.0000 0.0000 0.5000 (multiplicity 1)  2 Cr 2.47
As 0.5000 0.5000 0.5000 (multiplicity 1)  8 Sb 3.52, 4 Te 3.55

Results
Its total magnetic moment is 0.00 μB per formula unit. The distance to the lowest polymorph of the same formula is 0.00 kJ per mole of atoms. The calculation puts the electronic total energy at -4.583 eV/atom. Its mass density is 6.6 g/cm3.